Entry 1:
{"formula": "NaTl6", "functional": "GGA-PBE", "state": "relaxed", "lattice": [[7.399, 0.000, 0.000], [-2.466, 6.976, 0.000], [-2.466, -3.488, 6.041]], "species": ["Tl", "Tl", "Tl", "Tl", "Tl", "Tl", "Na"], "fractional_positions": [[0.250, 0.500, 0.750], [0.750, 0.500, 0.250], [0.500, 0.250, 0.750], [0.750, 0.250, 0.500], [0.250, 0.750, 0.500], [0.500, 0.750, 0.250], [0.000, 0.000, 0.000]], "e_form_mev_per_atom": 276, "de_polymorph_mev_per_atom": 259, "total_magnetization_mub_per_fu": 0.00}

Entry 2:
{"formula": "Na2Tl7", "functional": "GGA-PBE", "state": "relaxed", "lattice": [[-4.315, -0.473, -4.330], [0.398, -4.243, 4.407], [-5.252, 4.439, 4.748]], "species": ["Tl", "Tl", "Tl", "Tl", "Tl", "Tl", "Tl", "Na", "Na"], "fractional_positions": [[0.000, 0.665, 0.329], [0.000, 0.000, 0.000], [0.000, 0.335, 0.671], [0.335, 0.000, 0.671], [0.665, 0.000, 0.329], [0.665, 0.665, 0.671], [0.335, 0.335, 0.329], [0.333, 0.667, 0.000], [0.667, 0.333, 0.000]], "e_form_mev_per_atom": -41, "de_polymorph_mev_per_atom": 0, "total_magnetization_mub_per_fu": 0.00}

Entry 3:
{"formula": "Na3Tl5", "functional": "GGA-PBE", "state": "relaxed", "lattice": [[5.043, 0.000, 0.000], [0.000, 6.772, -0.044], [0.000, -0.288, 6.766]], "species": ["Tl", "Tl", "Tl", "Tl", "Tl", "Na", "Na", "Na"], "fractional_positions": [[0.500, 0.260, 0.260], [0.000, 0.500, 0.000], [0.500, 0.740, 0.740], [0.000, 0.000, 0.500], [0.000, 0.000, 0.000], [0.000, 0.500, 0.500], [0.500, 0.236, 0.764], [0.500, 0.764, 0.236]], "e_form_mev_per_atom": -94, "de_polymorph_mev_per_atom": 0, "total_magnetization_mub_per_fu": 0.00}

Entry 4:
{"formula": "Na5Tl7", "functional": "GGA-PBE", "state": "relaxed", "lattice": [[-3.325, 1.305, -0.045], [-3.972, -5.434, -5.803], [-5.201, -8.139, 6.582]], "species": ["Tl", "Tl", "Tl", "Tl", "Tl", "Tl", "Tl", "Na", "Na", "Na", "Na", "Na"], "fractional_positions": [[0.642, 0.968, 0.748], [0.028, 0.696, 0.247], [0.500, 0.500, 0.500], [0.358, 0.032, 0.252], [0.972, 0.304, 0.753], [0.668, 0.668, 0.996], [0.332, 0.332, 0.004], [0.000, 0.000, 0.000], [0.694, 0.367, 0.244], [0.161, 0.170, 0.509], [0.839, 0.830, 0.491], [0.306, 0.633, 0.756]], "e_form_mev_per_atom": -83, "total_magnetization_mub_per_fu": 0.00}